# 1
{"formula": "ZrTa2Al", "functional": "GGA-PBEsol", "state": "relaxed", "cell": [[3.401, 0.000, 0.000], [0.000, 3.401, 0.000], [0.000, 0.000, 6.289]], "species": ["Zr", "Ta", "Ta", "Al"], "frac_coords": [[0.000, 0.000, 0.000], [0.000, 0.000, 0.504], [0.500, 0.500, 0.733], [0.500, 0.500, 0.269]], "formation_energy_mev_per_atom": -162, "final_energy_ev_per_cell": -38.9, "mass_density_g_cm3": 11.0, "crystal_system": "tetragonal"}

# 2
{"formula": "HfAlS2", "functional": "GGA-PBEsol", "state": "relaxed", "cell": [[1.692, 0.977, 7.705], [-1.692, 0.977, 7.705], [0.000, -1.954, 7.705]], "species": ["Hf", "Al", "S", "S"], "frac_coords": [[0.000, 0.000, 0.000], [0.500, 0.500, 0.500], [0.108, 0.108, 0.108], [0.892, 0.892, 0.892]], "final_energy_ev_per_cell": -26.3, "formation_energy_uncorrected_ev_per_atom": -0.740, "mass_density_g_cm3": 5.9, "crystal_system": "trigonal"}

# 3
{"formula": "Mg2TcSe", "functional": "GGA-PBEsol", "state": "relaxed", "cell": [[-1.732, 2.110, 4.454], [1.732, -2.110, 4.454], [1.732, 2.110, -4.454]], "species": ["Mg", "Mg", "Tc", "Se"], "frac_coords": [[0.248, 0.248, 0.000], [0.752, 0.752, 0.000], [0.500, 0.000, 0.500], [0.000, 0.500, 0.500]], "final_energy_ev_per_cell": -18.0, "formation_energy_uncorrected_ev_per_atom": 0.139, "mass_density_g_cm3": 5.8, "crystal_system": "orthorhombic"}

# 4
{"formula": "Mg3Sb", "functional": "GGA-PBEsol", "state": "relaxed", "cell": [[3.445, 0.000, 0.000], [0.000, 4.211, 0.000], [0.000, 0.000, 6.267]], "species": ["Mg", "Mg", "Mg", "Sb"], "frac_coords": [[0.000, 0.000, 0.000], [0.500, 0.500, 0.248], [0.500, 0.500, 0.752], [0.000, 0.000, 0.500]], "final_energy_ev_per_cell": -10.2, "formation_energy_uncorrected_ev_per_atom": -0.127, "mass_density_g_cm3": 3.6, "crystal_system": "orthorhombic", "relative_energy_ev_per_atom": 0.065}

# 5
{"formula": "MgSb2W", "functional": "GGA-PBEsol", "state": "relaxed", "cell": [[-1.702, 1.878, 6.982], [1.702, -1.878, 6.982], [1.702, 1.878, -6.982]], "species": ["Mg", "Sb", "Sb", "W"], "frac_coords": [[0.000, 0.000, 0.000], [0.340, 0.840, 0.500], [0.613, 0.613, 0.000], [0.762, 0.262, 0.500]], "final_energy_ev_per_cell": -23.4, "formation_energy_uncorrected_ev_per_atom": 0.309, "mass_density_g_cm3": 8.4, "crystal_system": "orthorhombic", "relative_energy_ev_per_atom": 0.114}

# 6
{"formula": "DyAl3Ni2", "functional": "GGA-PBEsol", "state": "relaxed", "cell": [[5.203, 0.000, 0.000], [-2.601, 4.506, 0.000], [0.000, 0.000, 3.947]], "species": ["Dy", "Al", "Al", "Al", "Ni", "Ni"], "frac_coords": [[0.000, 0.000, 0.000], [0.000, 0.500, 0.500], [0.500, 0.000, 0.500], [0.500, 0.500, 0.500], [0.333, 0.667, 0.000], [0.667, 0.333, 0.000]], "formation_energy_mev_per_atom": -634, "final_energy_ev_per_cell": -33.4, "mass_density_g_cm3": 6.5, "crystal_system": "hexagonal"}

# 7
{"formula": "TaAlIr2Os", "functional": "GGA-PBEsol", "state": "relaxed", "cell": [[4.331, 0.000, 0.000], [0.000, 4.331, 0.000], [0.000, 0.000, 4.369]], "species": ["Ta", "Al", "Ir", "Ir", "Os"], "frac_coords": [[0.000, 0.000, 0.000], [0.500, 0.500, 0.500], [0.000, 0.500, 0.500], [0.500, 0.000, 0.500], [0.500, 0.500, 0.000]], "formation_energy_mev_per_atom": 975, "final_energy_ev_per_cell": -43.6, "mass_density_g_cm3": 15.9, "crystal_system": "tetragonal"}

# 8
{"formula": "KV2Se2", "functional": "GGA-PBEsol", "state": "relaxed", "cell": [[-1.821, 1.821, 7.472], [1.821, -1.821, 7.472], [1.821, 1.821, -7.472]], "species": ["K", "V", "V", "Se", "Se"], "frac_coords": [[0.000, 0.000, 0.000], [0.250, 0.750, 0.500], [0.750, 0.250, 0.500], [0.363, 0.363, 0.000], [0.637, 0.637, 0.000]], "final_energy_ev_per_cell": -32.1, "formation_energy_uncorrected_ev_per_atom": -0.804, "mass_density_g_cm3": 5.0, "crystal_system": "tetragonal"}

# 9
{"formula": "Na2GeTeO6", "functional": "GGA-PBEsol", "state": "relaxed", "cell": [[5.129, 0.000, 0.000], [-2.564, 4.442, 0.000], [0.000, 0.000, 10.664]], "species": ["Na", "Na", "Na", "Na", "Ge", "Ge", "Te", "Te", "O", "O", "O", "O", "O", "O", "O", "O", "O", "O", "O", "O"], "frac_coords": [[0.333, 0.667, 0.039], [0.333, 0.667, 0.461], [0.667, 0.333, 0.539], [0.667, 0.333, 0.961], [0.333, 0.667, 0.750], [0.667, 0.333, 0.250], [0.000, 0.000, 0.250], [0.000, 0.000, 0.750], [0.055, 0.339, 0.647], [0.055, 0.716, 0.853], [0.284, 0.339, 0.853], [0.284, 0.945, 0.647], [0.339, 0.055, 0.147], [0.339, 0.284, 0.353], [0.661, 0.716, 0.647], [0.661, 0.945, 0.853], [0.716, 0.055, 0.353], [0.716, 0.661, 0.147], [0.945, 0.284, 0.147], [0.945, 0.661, 0.353]], "final_energy_ev_per_cell": -117.0, "formation_energy_uncorrected_ev_per_atom": -1.574, "mass_density_g_cm3": 4.7, "crystal_system": "trigonal"}

# 10
{"formula": "CdTcH2", "functional": "GGA-PBEsol", "state": "relaxed", "cell": [[0.000, 2.707, 2.707], [2.707, 0.000, 2.707], [2.707, 2.707, 0.000]], "species": ["Cd", "Tc", "H", "H"], "frac_coords": [[0.000, 0.000, 0.000], [0.500, 0.500, 0.500], [0.250, 0.250, 0.250], [0.750, 0.750, 0.750]], "final_energy_ev_per_cell": -15.6, "mass_density_g_cm3": 8.9, "crystal_system": "cubic"}

# 11
{"formula": "BeAuCl2", "functional": "GGA-PBEsol", "state": "relaxed", "cell": [[5.210, -1.467, 0.000], [5.210, 1.467, 0.000], [-3.662, 0.000, 5.778]], "species": ["Be", "Au", "Cl", "Cl"], "frac_coords": [[0.000, 0.000, 0.000], [0.268, 0.268, 0.828], [0.520, 0.520, 0.764], [0.592, 0.592, 0.255]], "final_energy_ev_per_cell": -13.5, "formation_energy_uncorrected_ev_per_atom": -0.394, "mass_density_g_cm3": 5.2, "crystal_system": "monoclinic", "relative_energy_ev_per_atom": 0.199}

# 12
{"formula": "LiNi3Os", "functional": "GGA-PBEsol", "state": "relaxed", "cell": [[3.799, 0.000, 0.000], [0.000, 3.799, 0.000], [0.000, 0.000, 3.799]], "species": ["Li", "Ni", "Ni", "Ni", "Os"], "frac_coords": [[0.000, 0.000, 0.000], [0.000, 0.000, 0.500], [0.000, 0.500, 0.000], [0.500, 0.000, 0.000], [0.500, 0.500, 0.500]], "formation_energy_mev_per_atom": 940, "final_energy_ev_per_cell": -28.0, "mass_density_g_cm3": 11.3, "crystal_system": "cubic"}

# 13
{"formula": "TaBe2Fe", "functional": "GGA-PBEsol", "state": "relaxed", "cell": [[3.193, 0.000, 0.000], [0.000, 3.700, 0.000], [0.000, 0.000, 3.822]], "species": ["Ta", "Be", "Be", "Fe"], "frac_coords": [[0.000, 0.000, 0.000], [0.000, 0.500, 0.500], [0.500, 0.000, 0.500], [0.500, 0.500, 0.000]], "formation_energy_mev_per_atom": 18, "final_energy_ev_per_cell": -29.4, "mass_density_g_cm3": 9.4, "crystal_system": "orthorhombic", "relative_energy_ev_per_atom": 0.058}

# 14
{"formula": "Zr2TlO2", "functional": "GGA-PBEsol", "state": "relaxed", "cell": [[-1.791, 1.791, 6.143], [1.791, -1.791, 6.143], [1.791, 1.791, -6.143]], "species": ["Zr", "Zr", "Tl", "O", "O"], "frac_coords": [[0.154, 0.154, 0.000], [0.846, 0.846, 0.000], [0.500, 0.500, 0.000], [0.250, 0.750, 0.500], [0.750, 0.250, 0.500]], "final_energy_ev_per_cell": -41.8, "formation_energy_uncorrected_ev_per_atom": -2.104, "mass_density_g_cm3": 8.8, "crystal_system": "tetragonal"}

# 15
{"formula": "RbGa3P6O20", "functional": "GGA-PBEsol", "state": "relaxed", "cell": [[5.023, -6.567, 0.000], [5.023, 6.567, 0.000], [0.000, 0.000, 12.102]], "species": ["Rb", "Rb", "Ga", "Ga", "Ga", "Ga", "Ga", "Ga", "P", "P", "P", "P", "P", "P", "P", "P", "P", "P", "P", "P", "O", "O", "O", "O", "O", "O", "O", "O", "O", "O", "O", "O", "O", "O", "O", "O", "O", "O", "O", "O", "O", "O", "O", "O", "O", "O", "O", "O", "O", "O", "O", "O", "O", "O", "O", "O", "O", "O", "O", "O"], "frac_coords": [[0.026, 0.026, 0.000], [0.974, 0.974, 0.500], [0.205, 0.795, 0.250], [0.256, 0.744, 0.750], [0.363, 0.363, 0.500], [0.637, 0.637, 0.000], [0.744, 0.256, 0.250], [0.795, 0.205, 0.750], [0.132, 0.407, 0.183], [0.197, 0.325, 0.723], [0.241, 0.651, 0.012], [0.325, 0.197, 0.277], [0.349, 0.759, 0.488], [0.407, 0.132, 0.817], [0.593, 0.868, 0.317], [0.651, 0.241, 0.988], [0.675, 0.803, 0.777], [0.759, 0.349, 0.512], [0.803, 0.675, 0.223], [0.868, 0.593, 0.683], [0.024, 0.734, 0.699], [0.031, 0.227, 0.770], [0.137, 0.465, 0.057], [0.164, 0.552, 0.261], [0.179, 0.661, 0.896], [0.193, 0.777, 0.088], [0.223, 0.807, 0.412], [0.227, 0.031, 0.230], [0.230, 0.511, 0.708], [0.236, 0.247, 0.613], [0.247, 0.236, 0.387], [0.266, 0.976, 0.801], [0.292, 0.331, 0.187], [0.331, 0.292, 0.813], [0.339, 0.821, 0.604], [0.352, 0.576, 0.476], [0.424, 0.648, 0.024], [0.448, 0.836, 0.239], [0.465, 0.137, 0.943], [0.489, 0.770, 0.792], [0.511, 0.230, 0.292], [0.535, 0.863, 0.443], [0.552, 0.164, 0.739], [0.576, 0.352, 0.524], [0.648, 0.424, 0.976], [0.661, 0.179, 0.104], [0.669, 0.708, 0.313], [0.708, 0.669, 0.687], [0.734, 0.024, 0.301], [0.753, 0.764, 0.887], [0.764, 0.753, 0.113], [0.770, 0.489, 0.208], [0.773, 0.969, 0.730], [0.777, 0.193, 0.912], [0.807, 0.223, 0.588], [0.821, 0.339, 0.396], [0.836, 0.448, 0.761], [0.863, 0.535, 0.557], [0.969, 0.773, 0.270], [0.976, 0.266, 0.199]], "final_energy_ev_per_cell": -431.5, "formation_energy_uncorrected_ev_per_atom": -2.166, "mass_density_g_cm3": 3.3, "crystal_system": "orthorhombic"}

# 16
{"formula": "Cu3Tc", "functional": "GGA-PBEsol", "state": "relaxed", "cell": [[3.650, 0.000, 0.000], [0.000, 3.650, 0.000], [0.000, 0.000, 3.650]], "species": ["Cu", "Cu", "Cu", "Tc"], "frac_coords": [[0.000, 0.000, 0.500], [0.000, 0.500, 0.000], [0.500, 0.000, 0.000], [0.500, 0.500, 0.500]], "formation_energy_mev_per_atom": 422, "final_energy_ev_per_cell": -22.6, "mass_density_g_cm3": 9.9, "crystal_system": "cubic"}

# 17
{"formula": "LiHfZn3", "functional": "GGA-PBEsol", "state": "relaxed", "cell": [[5.163, 0.000, 0.000], [0.000, 5.163, 0.000], [0.000, 0.000, 5.163]], "species": ["Li", "Hf", "Zn", "Zn", "Zn"], "frac_coords": [[0.000, 0.000, 0.000], [0.500, 0.500, 0.500], [0.000, 0.500, 0.500], [0.500, 0.000, 0.500], [0.500, 0.500, 0.000]], "formation_energy_mev_per_atom": 873, "final_energy_ev_per_cell": -12.9, "mass_density_g_cm3": 4.6, "crystal_system": "cubic"}

# 18
{"formula": "SiP", "functional": "GGA-PBEsol", "state": "relaxed", "cell": [[0.000, 2.636, 2.636], [2.636, 0.000, 2.636], [2.636, 2.636, 0.000]], "species": ["Si", "P"], "frac_coords": [[0.000, 0.000, 0.000], [0.250, 0.250, 0.250]], "final_energy_ev_per_cell": -11.1, "formation_energy_uncorrected_ev_per_atom": 0.197, "mass_density_g_cm3": 2.7, "crystal_system": "cubic"}

# 19
{"formula": "Ba2MnHg", "functional": "GGA-PBEsol", "state": "relaxed", "cell": [[-2.746, 2.746, 3.878], [2.746, -2.746, 3.878], [2.746, 2.746, -3.878]], "species": ["Ba", "Ba", "Mn", "Hg"], "frac_coords": [[0.000, 0.000, 0.000], [0.750, 0.250, 0.500], [0.250, 0.750, 0.500], [0.500, 0.500, 0.000]], "formation_energy_mev_per_atom": 261, "final_energy_ev_per_cell": -13.6, "mass_density_g_cm3": 7.5, "crystal_system": "tetragonal", "relative_energy_ev_per_atom": 0.164}

# 20
{"formula": "KFe2Os", "functional": "GGA-PBEsol", "state": "relaxed", "cell": [[2.656, 0.000, 0.000], [0.000, 3.702, 0.000], [0.000, 0.000, 7.356]], "species": ["K", "Fe", "Fe", "Os"], "frac_coords": [[0.000, 0.000, 0.000], [0.500, 0.500, 0.348], [0.500, 0.500, 0.652], [0.000, 0.000, 0.500]], "formation_energy_mev_per_atom": 763, "final_energy_ev_per_cell": -28.2, "mass_density_g_cm3": 7.8, "crystal_system": "orthorhombic", "relative_energy_ev_per_atom": 0.000}